# MgTaAu

A relaxed MgTaAu crystal (PBE-GGA, Alexandria).

Its energy relative to the elements is -5 kJ/mol of atoms. For the theoretical density, the calculation gives 12.27 g cm⁻³. The space group is I4mm (107). The excess energy over the best structure of this formula in the dataset comes out at 142 meV/atom. Its calculated total energy is -16.89 eV/cell.

Cell lengths 6.544, 6.544, 2.963 Å; angles 76.92, 76.90, 26.17 degrees
Fractional coordinates of all 3 atoms:
1 Ta 0.662 0.662 0.338
2 Mg 0.340 0.340 0.660
3 Au 0.998 0.998 0.002

***

# Dy8InAg2

A relaxed Dy8InAg2 crystal (PBE-GGA, Alexandria).

Its energy relative to the elements is -17 kJ/mol of atoms. For the theoretical density, the calculation gives 8.80 g cm⁻³. The space group is C2/m (12). The excess energy over the best structure of this formula in the dataset comes out at 0 meV/atom. Its calculated total energy is -47.18 eV/cell.

Cell lengths 5.205, 8.275, 8.527 Å; angles 116.90, 107.77, 90.00 degrees
Fractional coordinates of all 11 atoms:
1 Ag 0.783 0.380 0.566
2 Ag 0.217 0.620 0.434
3 Dy 0.853 0.795 0.706
4 Dy 0.686 0.963 0.371
5 Dy 0.601 0.461 0.201
6 Dy 0.147 0.205 0.294
7 Dy 0.314 0.037 0.629
8 Dy 0.064 0.727 0.128
9 Dy 0.936 0.273 0.872
10 Dy 0.399 0.539 0.799
11 In 0.500 0.000 0.000

***

# BaYZr2

A relaxed BaYZr2 crystal (PBE-GGA, Alexandria).

Its energy relative to the elements is 50 kJ/mol of atoms. For the theoretical density, the calculation gives 5.71 g cm⁻³. The space group is I-4m2 (119). The excess energy over the best structure of this formula in the dataset comes out at 244 meV/atom. Its calculated total energy is -23.41 eV/cell.

Cell lengths 5.885, 5.885, 5.885 Å; angles 129.30, 129.30, 74.52 degrees
Fractional coordinates of all 4 atoms:
1 Y 0.750 0.250 0.500
2 Zr 0.000 0.000 0.000
3 Zr 0.250 0.750 0.500
4 Ba 0.500 0.500 0.000

***

# UPa2S5

A relaxed UPa2S5 crystal (PBE-GGA, Alexandria).

For the theoretical density, the calculation gives 6.46 g cm⁻³. The space group is Cmcm (63). The formation energy (no corrections) is -1.474 eV/atom. The excess energy over the best structure of this formula in the dataset comes out at 95 meV/atom. Its calculated total energy is -125.42 eV/cell.

Cell lengths 5.376, 6.835, 13.096 Å; angles 90.00, 90.00, 113.16 degrees
Fractional coordinates of all 16 atoms:
1 Pa 0.153 0.305 0.555
2 Pa 0.153 0.305 0.945
3 Pa 0.847 0.695 0.055
4 Pa 0.847 0.695 0.445
5 S 0.667 0.333 0.567
6 S 0.667 0.333 0.933
7 S 0.048 0.096 0.377
8 S 0.048 0.096 0.123
9 S 0.952 0.904 0.877
10 S 0.759 0.518 0.250
11 S 0.333 0.667 0.433
12 S 0.241 0.482 0.750
13 S 0.952 0.904 0.623
14 S 0.333 0.667 0.067
15 U 0.782 0.564 0.750
16 U 0.218 0.436 0.250

***

# Cs2SrBPb

A relaxed Cs2SrBPb crystal (PBE-GGA, Alexandria).

Its energy relative to the elements is 73 kJ/mol of atoms. For the theoretical density, the calculation gives 3.44 g cm⁻³. The space group is P4/mmm (123). Its calculated total energy is -10.00 eV/cell.

Cell lengths 7.871, 4.452, 7.871 Å; angles 90.00, 90.00, 90.00 degrees
Fractional coordinates of all 5 atoms:
1 Cs 0.000 0.000 0.500
2 Cs 0.500 0.000 0.000
3 Sr 0.500 0.500 0.500
4 Pb 0.000 0.000 0.000
5 B 0.000 0.500 0.000

***

# Ca6IrAu2

A relaxed Ca6IrAu2 crystal (PBE-GGA, Alexandria).

Its energy relative to the elements is -48 kJ/mol of atoms. For the theoretical density, the calculation gives 5.01 g cm⁻³. The space group is P2_1/c (14). Its calculated total energy is -63.77 eV/cell.

Cell lengths 6.883, 7.912, 10.062 Å; angles 90.00, 90.26, 90.00 degrees
Fractional coordinates of all 18 atoms:
1 Ca 0.837 0.668 0.064
2 Ca 0.859 0.962 0.753
3 Ca 0.663 0.168 0.436
4 Ca 0.337 0.832 0.564
5 Ca 0.156 0.314 0.563
6 Ca 0.844 0.686 0.437
7 Ca 0.141 0.038 0.247
8 Ca 0.641 0.462 0.747
9 Ca 0.163 0.332 0.936
10 Ca 0.656 0.186 0.063
11 Ca 0.359 0.538 0.253
12 Ca 0.344 0.814 0.937
13 Au 0.449 0.117 0.758
14 Au 0.051 0.617 0.742
15 Au 0.551 0.883 0.242
16 Au 0.949 0.383 0.258
17 Ir 0.500 0.500 0.000
18 Ir 0.000 0.000 0.500

***

# IrRh2Br

A relaxed IrRh2Br crystal (PBE-GGA, Alexandria).

For the theoretical density, the calculation gives 12.33 g cm⁻³. The space group is Cmm2 (35). The formation energy (no corrections) is 0.682 eV/atom. The excess energy over the best structure of this formula in the dataset comes out at 305 meV/atom. Its calculated total energy is -22.51 eV/cell.

Cell lengths 2.836, 2.836, 9.384 Å; angles 90.00, 90.00, 121.50 degrees
Fractional coordinates of all 4 atoms:
1 Br 0.000 0.000 0.490
2 Rh 0.000 0.000 0.002
3 Rh 0.500 0.500 0.244
4 Ir 0.500 0.500 0.764

***

# KCdI3

A relaxed KCdI3 crystal (PBE-GGA, Alexandria).

For the theoretical density, the calculation gives 3.62 g cm⁻³. The space group is C2/c (15). The formation energy (no corrections) is -0.942 eV/atom. The excess energy over the best structure of this formula in the dataset comes out at 0 meV/atom. Its calculated total energy is -45.49 eV/cell.

Cell lengths 8.620, 10.886, 10.886 Å; angles 83.44, 78.15, 78.15 degrees
Fractional coordinates of all 20 atoms:
1 K 0.750 0.102 0.898
2 K 0.250 0.898 0.102
3 K 0.250 0.321 0.679
4 K 0.750 0.679 0.321
5 I 0.113 0.619 0.101
6 I 0.839 0.017 0.206
7 I 0.887 0.381 0.899
8 I 0.339 0.206 0.017
9 I 0.387 0.899 0.381
10 I 0.661 0.794 0.983
11 I 0.004 0.674 0.588
12 I 0.161 0.983 0.794
13 I 0.504 0.588 0.674
14 I 0.996 0.326 0.412
15 I 0.613 0.101 0.619
16 I 0.496 0.412 0.326
17 Cd 0.743 0.197 0.381
18 Cd 0.243 0.381 0.197
19 Cd 0.757 0.619 0.803
20 Cd 0.257 0.803 0.619

***

# BaNd2VN4

A relaxed BaNd2VN4 crystal (PBE-GGA, Alexandria).

For the theoretical density, the calculation gives 6.42 g cm⁻³. The space group is Cmcm (63). The formation energy (no corrections) is -1.153 eV/atom. Its calculated total energy is -126.20 eV/cell.

Cell lengths 3.554, 6.595, 12.204 Å; angles 90.00, 90.00, 105.63 degrees
Fractional coordinates of all 16 atoms:
1 N 0.258 0.516 0.372
2 N 0.607 0.215 0.250
3 N 0.258 0.516 0.128
4 N 0.393 0.785 0.750
5 N 0.000 0.000 0.000
6 N 0.742 0.484 0.628
7 N 0.000 0.000 0.500
8 N 0.742 0.484 0.872
9 Nd 0.630 0.260 0.041
10 Nd 0.370 0.740 0.959
11 Nd 0.370 0.740 0.541
12 Nd 0.630 0.260 0.459
13 Ba 0.088 0.176 0.750
14 Ba 0.912 0.824 0.250
15 V 0.820 0.641 0.750
16 V 0.180 0.359 0.250

***

# Y5CoBi2

A relaxed Y5CoBi2 crystal (PBE-GGA, Alexandria).

Its energy relative to the elements is -55 kJ/mol of atoms. For the theoretical density, the calculation gives 6.87 g cm⁻³. The space group is Pnma (62). Its calculated total energy is -207.09 eV/cell.

Cell lengths 8.053, 8.895, 12.440 Å; angles 90.00, 90.00, 90.00 degrees
Fractional coordinates of all 32 atoms:
1 Co 0.433 0.250 0.509
2 Co 0.067 0.250 0.009
3 Co 0.933 0.750 0.991
4 Co 0.567 0.750 0.491
5 Y 0.653 0.750 0.700
6 Y 0.325 0.962 0.564
7 Y 0.175 0.538 0.064
8 Y 0.617 0.250 0.690
9 Y 0.950 0.750 0.498
10 Y 0.347 0.250 0.300
11 Y 0.883 0.250 0.190
12 Y 0.117 0.750 0.810
13 Y 0.847 0.750 0.200
14 Y 0.325 0.538 0.564
15 Y 0.825 0.462 0.936
16 Y 0.550 0.750 0.998
17 Y 0.675 0.038 0.436
18 Y 0.175 0.962 0.064
19 Y 0.153 0.250 0.800
20 Y 0.383 0.750 0.310
21 Y 0.450 0.250 0.002
22 Y 0.050 0.250 0.502
23 Y 0.675 0.462 0.436
24 Y 0.825 0.038 0.936
25 Bi 0.571 0.491 0.173
26 Bi 0.071 0.509 0.327
27 Bi 0.071 0.991 0.327
28 Bi 0.571 0.009 0.173
29 Bi 0.429 0.509 0.827
30 Bi 0.929 0.009 0.673
31 Bi 0.429 0.991 0.827
32 Bi 0.929 0.491 0.673

***

# Ti7Ga4Mo

A relaxed Ti7Ga4Mo crystal (PBE-GGA, Alexandria).

Its energy relative to the elements is -4 kJ/mol of atoms. For the theoretical density, the calculation gives 5.79 g cm⁻³. The space group is C2/m (12). Its calculated total energy is -78.69 eV/cell.

Cell lengths 4.769, 7.581, 6.681 Å; angles 67.34, 69.09, 71.67 degrees
Fractional coordinates of all 12 atoms:
1 Ga 0.321 0.359 0.999
2 Ga 0.679 0.641 0.001
3 Ga 0.440 0.705 0.415
4 Ga 0.560 0.295 0.585
5 Ti 0.798 0.878 0.526
6 Ti 0.074 0.578 0.274
7 Ti 0.926 0.422 0.726
8 Ti 0.500 0.000 0.000
9 Ti 0.222 0.750 0.806
10 Ti 0.202 0.122 0.474
11 Ti 0.778 0.250 0.194
12 Mo 0.000 0.000 0.000

***

# AcDy4Tm15

A relaxed AcDy4Tm15 crystal (PBE-GGA, Alexandria).

Its energy relative to the elements is 4 kJ/mol of atoms. For the theoretical density, the calculation gives 9.17 g cm⁻³. The space group is P4/mmm (123). Its calculated total energy is -88.84 eV/cell.

Cell lengths 4.981, 4.981, 24.900 Å; angles 90.00, 90.00, 90.00 degrees
Fractional coordinates of all 20 atoms:
1 Ac 0.000 0.000 0.000
2 Tm 0.500 0.000 0.106
3 Tm 0.000 0.500 0.302
4 Tm 0.000 0.500 0.500
5 Tm 0.500 0.500 0.796
6 Tm 0.500 0.000 0.894
7 Tm 0.500 0.500 0.204
8 Tm 0.000 0.500 0.894
9 Tm 0.000 0.500 0.106
10 Tm 0.500 0.500 0.000
11 Tm 0.500 0.500 0.401
12 Tm 0.500 0.000 0.302
13 Tm 0.500 0.000 0.500
14 Tm 0.500 0.000 0.698
15 Tm 0.500 0.500 0.599
16 Tm 0.000 0.500 0.698
17 Dy 0.000 0.000 0.401
18 Dy 0.000 0.000 0.797
19 Dy 0.000 0.000 0.203
20 Dy 0.000 0.000 0.599